Computed, not measured: a relaxed Cs2ZrBeS4 crystal at the PBE level of DFT.

Computed properties:
ΔE_f (raw) in eV per atom: -1.339
Space group: Fddd, No. 70

Geometry as POSCAR:
```
Cs2ZrBeS4
1.0
-3.830 1.587 3.929
-7.273 -1.624 -2.282
-1.058 -10.796 7.481
Cs Zr Be S
4 2 2 8
Cartesian
-1.360 -6.719 5.541 Cs
-3.529 -2.490 5.870 Cs
-6.737 -9.096 7.487 Cs
-7.340 -0.943 3.606 Cs
-7.038 -5.020 5.546 Zr
0.000 0.000 0.000 Zr
-5.123 -5.813 3.582 Be
-1.915 0.794 1.965 Be
-7.325 -1.883 0.103 S
-3.157 -9.646 7.302 S
-10.230 -9.726 8.233 S
-3.612 -0.411 2.618 S
-6.987 -4.761 3.161 S
-4.940 -6.170 5.726 S
-8.970 -6.127 6.441 S
-3.427 -4.609 2.928 S
```